[1]
# Ga2FeBiOs (PBE, relaxed)
data_Ga2FeBiOs
_chemical_formula_sum 'Ga2 Fe1 Bi1 Os1'
_symmetry_space_group_name_H-M 'P 1'
_symmetry_Int_Tables_number 1
_cell_length_a 5.205
_cell_length_b 5.205
_cell_length_c 4.858
_cell_angle_alpha 90.00
_cell_angle_beta 90.00
_cell_angle_gamma 90.00
loop_
_symmetry_equiv_pos_as_xyz
'x,y,z'
loop_
_atom_site_label
_atom_site_type_symbol
_atom_site_fract_x
_atom_site_fract_y
_atom_site_fract_z
_atom_site_occupancy
Ga1 Ga 0.000 0.500 0.000 1
Ga2 Ga 0.500 0.000 0.000 1
Fe1 Fe 0.000 0.000 0.500 1
Bi1 Bi 0.000 0.000 0.000 1
Os1 Os 0.500 0.500 0.500 1
# - Energy: -3.90 eV per atom
# - DFT formation energy: 2023 meV per atom
# - Density: 7.501 g/cm3

***

[2]
# GaFeBi2Pb (PBE, relaxed)
data_GaFeBi2Pb
_chemical_formula_sum 'Ga1 Fe1 Bi2 Pb1'
_symmetry_space_group_name_H-M 'P 1'
_symmetry_Int_Tables_number 1
_cell_length_a 5.240
_cell_length_b 5.240
_cell_length_c 4.659
_cell_angle_alpha 90.00
_cell_angle_beta 90.00
_cell_angle_gamma 90.00
loop_
_symmetry_equiv_pos_as_xyz
'x,y,z'
loop_
_atom_site_label
_atom_site_type_symbol
_atom_site_fract_x
_atom_site_fract_y
_atom_site_fract_z
_atom_site_occupancy
Ga1 Ga 0.000 0.000 0.000 1
Fe1 Fe 0.000 0.000 0.500 1
Bi1 Bi 0.000 0.500 0.500 1
Bi2 Bi 0.500 0.000 0.500 1
Pb1 Pb 0.500 0.500 0.000 1
# - Energy: -4.32 eV per atom
# - DFT formation energy: 275 meV per atom
# - Density: 9.745 g/cm3